KSr3: single point on PBEsol structure, meta-GGA SCAN.

Cell: 4.238 4.238 14.268 Å, 90.00 90.00 120.00°
Atoms (fractional coordinates):
Sr  0.000  0.000  0.500
Sr  0.333  0.667  0.738
Sr  0.333  0.667  0.262
K  0.000  0.000  0.000

Values from the calculation:
Symmetry: P-6m2
Energy of formation from the pure elements (eV/atom): 0.051
Relative energy among the computed polymorphs (meV/atom): 0
Density of states at the Fermi level (states/eV per atom): 0.98